Crystalline PmFeSi2Tc at its relaxed geometry. Source: the Alexandria database, functional PBE-GGA.

Unit cell a=4.053 b=4.053 c=5.885 alpha=110.14 beta=110.14 gamma=90.00
Positions (direct):
Pm (0.000, 0.000, 0.000)
Tc (0.250, 0.750, 0.500)
Si (0.625, 0.625, 0.250)
Si (0.375, 0.375, 0.750)
Fe (0.750, 0.250, 0.500)

Summary:
* total DFT energy (no corrections): -7.496 eV per atom
* SG: I-4m2
* formation energy from raw total energies: -0.611 eV/atom
* volume: 84 Å³/f.u.

=====

Crystalline Pr8SiTe4S3 at its relaxed geometry. Source: the Alexandria database, functional PBE-GGA.

Unit cell a=8.561 b=8.851 c=8.562 alpha=118.92 beta=120.00 gamma=90.00
Positions (direct):
Te (0.500, 0.000, 0.500)
Pr (0.238, 0.714, 0.475)
S (0.500, 0.500, 0.500)
Pr (0.739, 0.714, 0.976)
S (0.000, 0.500, 0.500)
Te (0.000, 0.000, 0.500)
Te (0.500, 0.000, 0.000)
Pr (0.261, 0.286, 0.024)
Te (0.000, 0.000, 0.000)
Pr (0.762, 0.286, 0.024)
S (0.500, 0.500, 0.000)
Pr (0.264, 0.291, 0.527)
Pr (0.238, 0.714, 0.976)
Pr (0.736, 0.709, 0.473)
Si (0.000, 0.500, 0.000)
Pr (0.762, 0.286, 0.525)

Summary:
* total DFT energy (no corrections): -5.896 eV per atom
* SG: R-3m
* formation energy from raw total energies: -1.608 eV/atom
* volume: 466 Å³/f.u.

=====

Crystalline Zr3NbRu2 at its relaxed geometry. Source: the Alexandria database, functional PBE-GGA.

Unit cell a=3.283 b=3.283 c=10.326 alpha=90.00 beta=90.00 gamma=90.00
Positions (direct):
Zr (0.000, 0.000, 0.683)
Ru (0.500, 0.500, 0.842)
Nb (0.500, 0.500, 0.500)
Zr (0.000, 0.000, 0.317)
Zr (0.000, 0.000, 0.000)
Ru (0.500, 0.500, 0.158)

Summary:
* total DFT energy (no corrections): -9.441 eV per atom
* SG: P4/mmm
* formation energy from the elements: -397 meV/atom
* volume: 111 Å³/f.u.

=====

Crystalline NdPuZnRu at its relaxed geometry. Source: the Alexandria database, functional PBE-GGA.

Unit cell a=4.994 b=4.994 c=4.994 alpha=60.00 beta=60.00 gamma=60.00
Positions (direct):
Pu (0.250, 0.250, 0.250)
Nd (0.750, 0.750, 0.750)
Ru (0.000, 0.000, 0.000)
Zn (0.500, 0.500, 0.500)

Summary:
* total DFT energy (no corrections): -7.508 eV per atom
* SG: F-43m
* formation energy from the elements: -96 meV/atom
* volume: 88 Å³/f.u.

=====

Crystalline Ba2ZnBi2 at its relaxed geometry. Source: the Alexandria database, functional PBE-GGA.

Unit cell a=8.928 b=8.928 c=8.928 alpha=132.34 beta=131.02 gamma=70.74
Positions (direct):
Ba (0.074, 0.865, 0.208)
Bi (0.176, 0.386, 0.790)
Bi (0.596, 0.886, 0.710)
Bi (0.824, 0.614, 0.210)
Zn (0.500, 0.750, 0.250)
Bi (0.404, 0.114, 0.290)
Ba (0.926, 0.135, 0.792)
Ba (0.343, 0.635, 0.708)
Zn (0.500, 0.250, 0.750)
Ba (0.657, 0.365, 0.292)

Summary:
* total DFT energy (no corrections): -3.320 eV per atom
* SG: Ibam
* formation energy from the elements: -744 meV/atom
* volume: 194 Å³/f.u.
* excess energy over the best structure of this formula in the dataset: 0.00 kcal/mol of atoms

=====

Crystalline PmDy2ThSc4 at its relaxed geometry. Source: the Alexandria database, functional PBE-GGA.

Unit cell a=4.987 b=4.997 c=10.340 alpha=61.13 beta=90.00 gamma=90.00
Positions (direct):
Sc (0.500, 0.746, 0.253)
Pm (0.500, 0.500, 0.000)
Sc (0.500, 0.254, 0.747)
Dy (0.500, 0.000, 0.500)
Th (0.000, 0.500, 0.500)
Sc (0.000, 0.754, 0.746)
Sc (0.000, 0.246, 0.254)
Dy (0.000, 0.000, 0.000)

Summary:
* total DFT energy (no corrections): -5.797 eV per atom
* SG: P4/mmm
* formation energy from the elements: 40 meV/atom
* volume: 226 Å³/f.u.

=====

Crystalline LiSmS2 at its relaxed geometry. Source: the Alexandria database, functional PBE-GGA.

Unit cell a=6.915 b=6.915 c=6.915 alpha=132.61 beta=132.61 gamma=69.26
Positions (direct):
S (0.246, 0.246, 0.000)
Li (0.250, 0.750, 0.500)
S (0.996, 0.496, 0.500)
Sm (0.000, 0.000, 0.000)
Sm (0.750, 0.250, 0.500)
Li (0.500, 0.500, 0.000)
S (0.754, 0.754, 0.000)
S (0.504, 0.004, 0.500)

Summary:
* total DFT energy (no corrections): -5.522 eV per atom
* SG: I4_1/amd
* formation energy from raw total energies: -1.800 eV/atom
* volume: 88 Å³/f.u.

=====

Crystalline Dy2Er3TmS6 at its relaxed geometry. Source: the Alexandria database, functional PBE-GGA.

Unit cell a=3.866 b=7.775 c=8.651 alpha=103.12 beta=102.91 gamma=90.00
Positions (direct):
S (0.666, 0.080, 0.331)
Er (0.500, 0.500, 0.000)
Dy (0.833, 0.665, 0.666)
S (0.001, 0.752, 0.002)
Er (0.168, 0.833, 0.335)
S (0.334, 0.414, 0.669)
S (0.334, 0.920, 0.669)
S (0.999, 0.248, 0.998)
Dy (0.167, 0.335, 0.334)
S (0.666, 0.586, 0.331)
Tm (0.500, 0.000, 0.000)
Er (0.832, 0.167, 0.665)

Summary:
* total DFT energy (no corrections): -6.307 eV per atom
* SG: C2/m
* formation energy from raw total energies: -1.963 eV/atom
* volume: 247 Å³/f.u.